[1]
InSiI2O PBE optimized geometry; uncorrected energy = -18.766 eV/cell; magnetization = 0.000 μB per cell; N(E_F) = 1.27 states/eV/f.u.; energy relative to the lowest polymorph listed for this composition = 0 kJ/mol of formula units; formation energy without anion corrections = -2.55 eV/f.u.
1.0
6.0071 0.0000 0.0000
0.0000 6.0071 0.0000
0.0000 0.0000 3.5947
I Si O In
2 1 1 1
direct
0.0000 0.5000 0.0000
0.5000 0.0000 0.0000
0.0000 0.0000 0.0000
0.0000 0.0000 0.5000
0.5000 0.5000 0.5000

---

[2]
Gd2BiBr PBE optimized geometry; uncorrected energy = -37.570 eV/cell; magnetization = 14.011 μB per cell; N(E_F) = 5.84 states/eV/f.u.; energy relative to the lowest polymorph listed for this composition = 0 kJ/mol of formula units; formation energy without anion corrections = -3.85 eV/f.u.
1.0
-3.2808 2.8713 1.0369
-1.8285 -0.0693 4.0908
2.9219 5.4445 3.8529
Gd Bi Br
2 1 1
direct
0.2450 0.2450 0.2649
0.7550 0.7550 0.7351
0.0000 0.0000 0.0000
0.5000 0.5000 0.5000

---

[3]
LaOsBr2 PBE optimized geometry; uncorrected energy = -38.967 eV/cell; magnetization = 1.206 μB per cell; N(E_F) = 3.30 states/eV/f.u.; energy relative to the lowest polymorph listed for this composition = 188 kJ/mol of formula units; formation energy without anion corrections = 0.02 eV/f.u.
1.0
4.7142 0.0000 0.0000
0.0000 4.7142 0.0000
2.3571 2.3571 9.1665
Os Br La
2 4 2
direct
0.0000 0.0000 0.0000
0.7500 0.2500 0.5000
0.6663 0.1250 0.2500
0.0837 0.6250 0.2500
0.3750 0.3337 0.7500
0.8750 0.9163 0.7500
0.5000 0.5000 0.0000
0.2500 0.7500 0.5000

---

Record order is preserved below.
Ρ: 5283 8463 7971 kg/m³